Record 1
First-principles (GGA-PBEsol) data for a geometry-optimized PPdI3 structure, as listed in Alexandria via LeMat-Bulk.

## Properties
M_tot	1.78	μB/f.u.
ΔE_f (raw)	0.605	eV/atom
E_tot	-14.025	eV per formula unit

a = 5.335 Å, b = 5.335 Å, c = 5.335 Å
α = 90.00°, β = 90.00°, γ = 90.00°
Space group Pm-3m (No. 221)
Asymmetric unit:
P 0.000 0.000 0.000 (multiplicity 1)
Pd 0.500 0.500 0.500 (multiplicity 1)
I 0.000 0.500 0.500 (multiplicity 3)

=====

Record 2
First-principles (GGA-PBEsol) data for a geometry-optimized YMnFe structure, as listed in Alexandria via LeMat-Bulk.

## Properties
M_tot	2.11	μB/f.u.
energy of formation from the pure elements	0.06	eV per atom
E_tot	-25.354	eV per formula unit

a = 4.832 Å, b = 5.111 Å, c = 7.271 Å
α = 90.00°, β = 90.00°, γ = 90.00°
Space group Imma (No. 74)
Asymmetric unit:
Y 0.000 0.250 0.123 (multiplicity 4)
Mn 0.250 0.250 0.750 (multiplicity 4)
Fe 0.000 0.000 0.500 (multiplicity 4)

=====

Record 3
First-principles (GGA-PBEsol) data for a geometry-optimized SrLiBe2 structure, as listed in Alexandria via LeMat-Bulk.

## Properties
M_tot	0.00	μB/f.u.
energy of formation from the pure elements	0.67	eV per atom
E_tot	-9.112	eV per formula unit

a = 6.814 Å, b = 6.814 Å, c = 6.814 Å
α = 90.00°, β = 90.00°, γ = 90.00°
Space group Fm-3m (No. 225)
Asymmetric unit:
Sr 0.000 0.000 0.000 (multiplicity 4)
Li 0.000 0.000 0.500 (multiplicity 4)
Be 0.250 0.250 0.250 (multiplicity 8)

=====

Record 4
First-principles (GGA-PBEsol) data for a geometry-optimized BeZn2BSe structure, as listed in Alexandria via LeMat-Bulk.

## Properties
M_tot	0.00	μB/f.u.
ΔE_f (raw)	0.624	eV/atom
E_tot	-14.909	eV per formula unit

a = 4.496 Å, b = 4.496 Å, c = 3.533 Å
α = 90.00°, β = 90.00°, γ = 90.00°
Space group P4/mmm (No. 123)
Asymmetric unit:
Be 0.000 0.000 0.000 (multiplicity 1)
Zn 0.000 0.500 0.000 (multiplicity 2)
B 0.000 0.000 0.500 (multiplicity 1)
Se 0.500 0.500 0.500 (multiplicity 1)

=====

Record 5
First-principles (GGA-PBEsol) data for a geometry-optimized Si2Sn2I structure, as listed in Alexandria via LeMat-Bulk.

## Properties
M_tot	0.00	μB/f.u.
ΔE_f (raw)	0.110	eV/atom
E_tot	-21.231	eV per formula unit

a = 3.726 Å, b = 3.726 Å, c = 17.923 Å
α = 90.00°, β = 90.00°, γ = 90.00°
Space group I4/mmm (No. 139)
Asymmetric unit:
Si 0.000 0.500 0.250 (multiplicity 4)
Sn 0.000 0.000 0.126 (multiplicity 4)
I 0.000 0.000 0.500 (multiplicity 2)

=====

Record 6
First-principles (GGA-PBEsol) data for a geometry-optimized CaLaTiFeO6 structure, as listed in Alexandria via LeMat-Bulk.

## Properties
M_tot	1.00	μB/f.u.
ΔE_f (raw)	-2.796	eV/atom
E_tot	-84.221	eV per formula unit

a = 5.364 Å, b = 5.362 Å, c = 9.277 Å
α = 90.00°, β = 125.26°, γ = 90.00°
Space group Pc (No. 7)
Asymmetric unit:
Ca 0.000 0.220 0.000 (multiplicity 2)
La 0.490 0.270 0.498 (multiplicity 2)
Ti 0.743 0.250 0.248 (multiplicity 2)
Fe 0.243 0.251 0.749 (multiplicity 2)
O 0.050 0.021 0.277 (multiplicity 2)
O 0.426 0.472 0.216 (multiplicity 2)
O 0.487 0.029 0.721 (multiplicity 2)
O 0.553 0.256 0.996 (multiplicity 2)
O 0.944 0.241 0.502 (multiplicity 2)
O 0.999 0.467 0.782 (multiplicity 2)